Entry 1:
Compound: LaHgB4
Source: OQMD
Functional: GGA-PBE
Structure: optimized geometry

Summary:
The value obtained for the energy above the most stable polymorph in this dataset is 208 meV/atom. Its uncorrected energy is -4.9792 eV/atom.

Lattice parameters (Å, degrees): 3.2260 3.2260 8.3599 90.00 90.00 120.00
Space group P6/mmm (No. 191)
Unique sites:
La 0.0000 0.0000 0.0000 [1 per cell]
Hg 0.0000 0.0000 0.5000 [1 per cell]
B 0.3333 0.6667 0.2558 [4 per cell]

***

Entry 2:
Compound: LaHgB
Source: OQMD
Functional: GGA-PBE
Structure: optimized geometry

Summary:
The value obtained for the energy above the most stable polymorph in this dataset is 0 meV/atom. Its uncorrected energy is -3.9421 eV/atom.

Lattice parameters (Å, degrees): 6.4268 6.4268 6.4268 90.00 90.00 90.00
Space group F-43m (No. 216)
Unique sites:
La 0.0000 0.0000 0.0000 [4 per cell]
Hg 0.0000 0.0000 0.5000 [4 per cell]
B 0.2500 0.2500 0.7500 [4 per cell]